(1)
Entry from Alexandria: MgPbCl at its PBEsol-relaxed geometry (SCAN).

Its energy relative to the elements, uncorrected is -0.888 eV/atom.

a b c (Å): 3.4371 3.4371 7.6286
angles (deg): 90.00 90.00 120.00
Space group P3m1 (No. 156)
One atom of each set of equivalent atoms:
Mg: 0.0000 0.0000 0.0000 x1
Pb: 0.6667 0.3333 0.6646 x1
Cl: 0.3333 0.6667 0.1947 x1



(2)
Entry from Alexandria: Al2AgPb at its PBEsol-relaxed geometry (SCAN).

The calculation puts the formation energy at 264 meV/atom.

a b c (Å): 5.732 10.409 3.410
angles (deg): 90.00 125.59 90.00
Space group C2/m (No. 12)
One atom of each set of equivalent atoms:
Al: 0.250 0.250 0.000 x4
Ag: 0.000 0.000 0.500 x2
Pb: 0.000 0.500 0.500 x2



(3)
Entry from Alexandria: Mg5Zr at its PBEsol-relaxed geometry (SCAN).

The calculation puts the formation energy at 42 meV/atom.

a b c (Å): 4.474 12.813 4.580
angles (deg): 90.00 90.00 90.00
Space group Cmmm (No. 65)
One atom of each set of equivalent atoms:
Mg: 0.000 0.000 0.000 x2
Mg: 0.000 0.169 0.500 x4
Mg: 0.000 0.340 0.000 x4
Zr: 0.000 0.500 0.500 x2



(4)
Entry from Alexandria: HgPtAu2 at its PBEsol-relaxed geometry (SCAN).

The calculation puts the formation energy at 93 meV/atom.

a b c (Å): 9.458 2.949 5.006
angles (deg): 90.00 100.74 90.00
Space group Cm (No. 8)
One atom of each set of equivalent atoms:
Hg: 0.000 0.000 0.000 x2
Pt: 0.251 0.000 0.762 x2
Au: 0.007 0.500 0.507 x2
Au: 0.256 0.500 0.269 x2



(5)
Entry from Alexandria: CrAs2Au at its PBEsol-relaxed geometry (SCAN).

The calculation puts the formation energy at 76 meV/atom.

a b c (Å): 3.868 3.868 8.839
angles (deg): 90.00 90.00 90.00
Space group I-4m2 (No. 119)
One atom of each set of equivalent atoms:
Cr: 0.000 0.000 0.000 x2
As: 0.000 0.000 0.500 x2
As: 0.000 0.500 0.250 x2
Au: 0.000 0.500 0.750 x2



(6)
Entry from Alexandria: Tl2Fe2Si at its PBEsol-relaxed geometry (SCAN).

Its energy relative to the elements, uncorrected is 0.937 eV/atom.

a b c (Å): 3.916 3.916 12.569
angles (deg): 90.00 90.00 90.00
Space group I4/mmm (No. 139)
One atom of each set of equivalent atoms:
Tl: 0.000 0.500 0.250 x4
Fe: 0.000 0.000 0.086 x4
Si: 0.000 0.000 0.500 x2